1.
A geometry-optimized Ba2Mg12Zn3Hg structure. Source: Alexandria via LeMat-Bulk, functional GGA-PBE.

* energy of formation: 189 meV per atom
* density of states at the Fermi level: 21.91 states/eV/cell

Lattice parameters (Å, degrees): 9.5189 9.5189 21.5568 90.00 90.00 120.00
Space group R-3m (No. 166, hexagonal axes)
Symmetry-distinct sites (fractional):
1 Ba 0.0000 0.0000 0.1075 [6 per cell]
2 Mg 0.0154 0.5077 0.1207 [18 per cell]
3 Mg 0.0603 0.5302 0.3580 [18 per cell]
4 Zn 0.0000 0.5000 0.0000 [9 per cell]
5 Hg 0.0000 0.0000 0.5000 [3 per cell]

***

2.
A geometry-optimized NaPuScI6 structure. Source: Alexandria via LeMat-Bulk, functional GGA-PBE.

* density of states at the Fermi level: 35.80 states/eV/cell
* uncorrected formation energy: -10.484 eV/f.u.

Lattice parameters (Å, degrees): 7.6880 7.6880 14.5447 90.00 90.00 120.00
Space group P-31c (No. 163)
Symmetry-distinct sites (fractional):
1 Na 0.0000 0.0000 0.0000 [2 per cell]
2 Pu 0.3333 0.6667 0.2500 [2 per cell]
3 Sc 0.3333 0.6667 0.7500 [2 per cell]
4 I 0.0233 0.3608 0.6304 [12 per cell]

***

3.
A geometry-optimized LaSb2Rh5 structure. Source: Alexandria via LeMat-Bulk, functional GGA-PBE.

* density of states at the Fermi level: 12.83 states/eV/cell
* uncorrected formation energy: -4.098 eV/f.u.

Lattice parameters (Å, degrees): 4.007 7.246 10.479 90.00 90.00 90.00
Space group Immm (No. 71)
Symmetry-distinct sites (fractional):
1 La 0.000 0.000 0.000 [2 per cell]
2 Sb 0.000 0.500 0.244 [4 per cell]
3 Rh 0.000 0.194 0.365 [8 per cell]
4 Rh 0.000 0.500 0.000 [2 per cell]

***

| no. | final energy (eV/atom) | total magnetic moment (μB/atom) |
| --- | --- | --- |
| 1 | -1.316 | 0.00 |
| 2 | -4.641 | 0.67 |
| 3 | -6.753 | 0.00 |